Entry from Alexandria: a relaxed Li7Mn5O12 crystal (PBE+U).

Cell lengths 5.252, 6.028, 7.668 Å; angles 98.56, 97.31, 110.16 degrees
Sites, in units of the cell vectors:
Li: 0.000 0.000 0.000
Li: 0.489 0.933 0.165
Li: 0.491 0.405 0.156
Li: 0.498 0.751 0.503
Li: 0.502 0.249 0.497
Li: 0.509 0.595 0.844
Li: 0.511 0.067 0.835
Mn: 0.000 0.500 0.000
Mn: 0.002 0.324 0.327
Mn: 0.002 0.832 0.330
Mn: 0.998 0.168 0.670
Mn: 0.998 0.676 0.673
O: 0.209 0.309 0.911
O: 0.216 0.449 0.575
O: 0.229 0.119 0.261
O: 0.234 0.773 0.912
O: 0.235 0.939 0.580
O: 0.236 0.596 0.236
O: 0.764 0.404 0.764
O: 0.765 0.061 0.420
O: 0.766 0.227 0.088
O: 0.771 0.881 0.739
O: 0.784 0.551 0.425
O: 0.791 0.691 0.089

Properties
As for the relative energy among the computed polymorphs: 0.39 eV per formula unit. As for the total energy: -152.99 eV/cell.